# Li3ReHg (PBE, relaxed)
# E_form	107	kJ per mole of atoms
# total magnetic moment	3.10	μB per formula unit
# offset from the most stable computed form	0	meV per atom
data_Li3ReHg
_chemical_formula_sum 'Li3 Re1 Hg1'
_cell_length_a 4.7218
_cell_length_b 4.7218
_cell_length_c 4.7218
_cell_angle_alpha 90.00
_cell_angle_beta 90.00
_cell_angle_gamma 90.00
_space_group_name_H-M_alt 'P 1'
_space_group_IT_number 1
loop_
_space_group_symop_operation_xyz
'x,y,z'
loop_
_atom_site_label
_atom_site_fract_x
_atom_site_fract_y
_atom_site_fract_z
Li1 0.5000 0.0000 0.0000
Hg1 0.0000 0.0000 0.0000
Li2 0.0000 0.0000 0.5000
Re1 0.5000 0.5000 0.5000
Li3 0.0000 0.5000 0.0000